Entry 1:
Entry from Alexandria via LeMat-Bulk: Hf2Ni4Rh after structural relaxation (PBE-GGA).

Its volume is 14.4 Å³/atom. As for the formation energy from the elements: -0.447 eV/atom.

The space group is I4/mmm (No. 139) and the conventional cell measures 3.4254, 3.4254 and 17.1296 Å, with angles of 90.00, 90.00 and 90.00 degrees. The distinct sites, in fractional coordinates, are Hf at (0.0000, 0.0000, 0.0983), Ni at (0.0000, 0.0000, 0.3480), Ni at (0.0000, 0.5000, 0.2500) and Rh at (0.0000, 0.0000, 0.5000).



Entry 2:
Entry from Alexandria via LeMat-Bulk: Hf6NiRh2 after structural relaxation (PBE-GGA).

Its volume is 19.5 Å³/atom. As for the formation energy from the elements: -0.399 eV/atom.

The space group is P2_1/c (No. 14) and the conventional cell measures 5.5655, 7.1805 and 10.3143 Å, with angles of 90.00, 121.77 and 90.00 degrees. The distinct sites, in fractional coordinates, are Hf at (0.0737, 0.0613, 0.2471), Hf at (0.2200, 0.7320, 0.0688), Hf at (0.3819, 0.1488, 0.0433), Ni at (0.5000, 0.0000, 0.5000) and Rh at (0.3161, 0.0942, 0.7068).



Entry 3:
Entry from Alexandria via LeMat-Bulk: Hf4NiRh after structural relaxation (PBE-GGA).

Its volume is 19.1 Å³/atom. As for the formation energy from the elements: -0.224 eV/atom. As for the energy above the most stable polymorph in this dataset: 258 meV/atom.

The space group is C2/m (No. 12) and the conventional cell measures 14.2014, 3.1820 and 5.4855 Å, with angles of 90.00, 112.43 and 90.00 degrees. The distinct sites, in fractional coordinates, are Hf at (0.1543, 0.0000, 0.4922), Hf at (0.1552, 0.5000, 0.9853), Ni at (0.0000, 0.5000, 0.5000) and Rh at (0.0000, 0.0000, 0.0000).



Entry 4:
Entry from Alexandria via LeMat-Bulk: HfNi2Rh after structural relaxation (PBE-GGA).

Its volume is 15.3 Å³/atom. As for the formation energy from the elements: -0.122 eV/atom.

The space group is I-42d (No. 122) and the conventional cell measures 3.6914, 3.6914 and 17.9271 Å, with angles of 90.00, 90.00 and 90.00 degrees. The distinct sites, in fractional coordinates, are Hf at (0.0000, 0.0000, 0.0000), Ni at (0.2319, 0.2500, 0.6250) and Rh at (0.0000, 0.0000, 0.5000).



Entry 5:
Entry from Alexandria via LeMat-Bulk: HfNiRh2 after structural relaxation (PBE-GGA).

Its volume is 16.2 Å³/atom. As for the formation energy from the elements: -0.167 eV/atom.

The space group is I-42d (No. 122) and the conventional cell measures 3.8423, 3.8423 and 17.5697 Å, with angles of 90.00, 90.00 and 90.00 degrees. The distinct sites, in fractional coordinates, are Hf at (0.0000, 0.0000, 0.0000), Ni at (0.0000, 0.0000, 0.5000) and Rh at (0.2190, 0.2500, 0.6250).



Entry 6:
Entry from Alexandria via LeMat-Bulk: HfNi3Rh after structural relaxation (PBE-GGA).

Its volume is 17.5 Å³/atom. As for the formation energy from the elements: 0.884 eV/atom. As for the energy above the most stable polymorph in this dataset: 0 meV/atom.

The space group is Pm-3m (No. 221) and the conventional cell measures 4.4421, 4.4421 and 4.4421 Å, with angles of 90.00, 90.00 and 90.00 degrees. The distinct sites, in fractional coordinates, are Hf at (0.0000, 0.0000, 0.0000), Ni at (0.0000, 0.5000, 0.5000) and Rh at (0.5000, 0.5000, 0.5000).



Entry 7:
Entry from Alexandria via LeMat-Bulk: Hf2NiRh after structural relaxation (PBE-GGA).

Its volume is 17.9 Å³/atom. As for the formation energy from the elements: -0.168 eV/atom.

The space group is I-42d (No. 122) and the conventional cell measures 7.0467, 7.0467 and 5.7586 Å, with angles of 90.00, 90.00 and 90.00 degrees. The distinct sites, in fractional coordinates, are Hf at (0.2448, 0.2500, 0.1250), Ni at (0.0000, 0.0000, 0.0000) and Rh at (0.0000, 0.0000, 0.5000).



Entry 8:
Entry from Alexandria via LeMat-Bulk: HfScNiRh after structural relaxation (PBE-GGA).

Its volume is 16.8 Å³/atom. As for the formation energy from the elements: -0.693 eV/atom.

The space group is F-43m (No. 216) and the conventional cell measures 6.4476, 6.4476 and 6.4476 Å, with angles of 90.00, 90.00 and 90.00 degrees. The distinct sites, in fractional coordinates, are Hf at (0.0000, 0.0000, 0.0000), Sc at (0.0000, 0.0000, 0.5000), Ni at (0.2500, 0.2500, 0.2500) and Rh at (0.2500, 0.2500, 0.7500).



Entry 9:
Entry from Alexandria via LeMat-Bulk: SmHfNiRh after structural relaxation (PBE-GGA).

Its volume is 18.9 Å³/atom. As for the formation energy from the elements: -0.454 eV/atom.

The space group is F-43m (No. 216) and the conventional cell measures 6.7155, 6.7155 and 6.7155 Å, with angles of 90.00, 90.00 and 90.00 degrees. The distinct sites, in fractional coordinates, are Sm at (0.0000, 0.0000, 0.0000), Hf at (0.0000, 0.0000, 0.5000), Ni at (0.2500, 0.2500, 0.2500) and Rh at (0.2500, 0.2500, 0.7500).



Entry 10:
Entry from Alexandria via LeMat-Bulk: TbHfNiRh after structural relaxation (PBE-GGA).

Its volume is 18.4 Å³/atom. As for the formation energy from the elements: -0.544 eV/atom.

The space group is F-43m (No. 216) and the conventional cell measures 6.6580, 6.6580 and 6.6580 Å, with angles of 90.00, 90.00 and 90.00 degrees. The distinct sites, in fractional coordinates, are Tb at (0.0000, 0.0000, 0.0000), Hf at (0.0000, 0.0000, 0.5000), Ni at (0.2500, 0.2500, 0.2500) and Rh at (0.2500, 0.2500, 0.7500).



Entry 11:
Entry from Alexandria via LeMat-Bulk: TmHfNiRh after structural relaxation (PBE-GGA).

Its volume is 17.9 Å³/atom. As for the formation energy from the elements: -0.629 eV/atom.

The space group is F-43m (No. 216) and the conventional cell measures 6.5940, 6.5940 and 6.5940 Å, with angles of 90.00, 90.00 and 90.00 degrees. The distinct sites, in fractional coordinates, are Tm at (0.0000, 0.0000, 0.0000), Hf at (0.0000, 0.0000, 0.5000), Ni at (0.2500, 0.2500, 0.7500) and Rh at (0.2500, 0.2500, 0.2500).



Entry 12:
Entry from Alexandria via LeMat-Bulk: HfV2NiRh after structural relaxation (PBE-GGA).

Its volume is 16.9 Å³/atom. As for the formation energy from the elements: 0.547 eV/atom.

The space group is P4/mmm (No. 123) and the conventional cell measures 4.2320, 4.2320 and 4.7194 Å, with angles of 90.00, 90.00 and 90.00 degrees. The distinct sites, in fractional coordinates, are Hf at (0.0000, 0.0000, 0.0000), V at (0.0000, 0.5000, 0.5000), Ni at (0.5000, 0.5000, 0.5000) and Rh at (0.5000, 0.5000, 0.0000).